Entry 1:
{
  "formula": "MgMn2Cl",
  "functional": "SCAN",
  "state": "single point on PBEsol structure",
  "formation_energy_uncorrected_ev_per_atom": -0.052,
  "total_energy_ev_per_cell": -49.67,
  "space_group": "No. 47",
  "vol_a3_per_cell": 68,
  "lattice_angstrom": [[3.050, 0.000, 0.000], [0.000, 4.482, 0.000], [0.000, 0.000, 4.984]],
  "species": ["Mg", "Mn", "Mn", "Cl"],
  "fractional_positions": [[0.000, 0.000, 0.000], [0.000, 0.500, 0.500], [0.500, 0.000, 0.500], [0.500, 0.500, 0.000]]
}

***

Entry 2:
{
  "formula": "Tl2CoF4",
  "functional": "SCAN",
  "state": "single point on PBEsol structure",
  "formation_energy_uncorrected_ev_per_atom": -1.951,
  "total_energy_ev_per_cell": -189.84,
  "space_group": "No. 139",
  "vol_a3_per_cell": 113,
  "lattice_angstrom": [[-2.020, 2.020, 6.937], [2.020, -2.020, 6.937], [2.020, 2.020, -6.937]],
  "species": ["Tl", "Tl", "Co", "F", "F", "F", "F"],
  "fractional_positions": [[0.150, 0.150, 0.000], [0.850, 0.850, 0.000], [0.500, 0.500, 0.000], [0.000, 0.500, 0.500], [0.355, 0.355, 0.000], [0.500, 0.000, 0.500], [0.645, 0.645, 0.000]]
}

***

Entry 3:
{
  "formula": "YBe2Co",
  "functional": "SCAN",
  "state": "single point on PBEsol structure",
  "delta_e_f_ev_per_atom": -0.1531,
  "total_energy_ev_per_cell": -54.47,
  "space_group": "No. 166",
  "vol_a3_per_cell": 56,
  "lattice_angstrom": [[1.848, 1.067, 4.734], [-1.848, 1.067, 4.734], [0.000, -2.134, 4.734]],
  "species": ["Y", "Be", "Be", "Co"],
  "fractional_positions": [[0.000, 0.000, 0.000], [0.193, 0.193, 0.193], [0.807, 0.807, 0.807], [0.500, 0.500, 0.500]]
}

***

Entry 4:
{
  "formula": "LaNb2NiPd",
  "functional": "SCAN",
  "state": "single point on PBEsol structure",
  "delta_e_f_ev_per_atom": 1.8139,
  "total_energy_ev_per_cell": -149.24,
  "space_group": "No. 123",
  "vol_a3_per_cell": 104,
  "lattice_angstrom": [[4.847, 0.000, 0.000], [0.000, 4.847, 0.000], [0.000, 0.000, 4.435]],
  "species": ["La", "Nb", "Nb", "Ni", "Pd"],
  "fractional_positions": [[0.000, 0.000, 0.000], [0.000, 0.500, 0.000], [0.500, 0.000, 0.000], [0.000, 0.000, 0.500], [0.500, 0.500, 0.500]]
}

***

Entry 5:
{
  "formula": "HgAsN2",
  "functional": "SCAN",
  "state": "single point on PBEsol structure",
  "formation_energy_uncorrected_ev_per_atom": 0.814,
  "total_energy_ev_per_cell": -207.36,
  "space_group": "No. 122",
  "vol_a3_per_cell": 117,
  "lattice_angstrom": [[-2.495, 2.495, 4.718], [2.495, -2.495, 4.718], [2.495, 2.495, -4.718]],
  "species": ["Hg", "Hg", "As", "As", "N", "N", "N", "N"],
  "fractional_positions": [[0.000, 0.000, 0.000], [0.750, 0.250, 0.500], [0.250, 0.750, 0.500], [0.500, 0.500, 0.000], [0.194, 0.625, 0.069], [0.375, 0.444, 0.569], [0.556, 0.125, 0.931], [0.875, 0.806, 0.431]]
}

***

Entry 6:
{
  "formula": "Rb3Nb20O34",
  "functional": "SCAN",
  "state": "single point on PBEsol structure",
  "formation_energy_uncorrected_ev_per_atom": -2.464,
  "total_energy_ev_per_cell": -1077.11,
  "space_group": "No. 6",
  "vol_a3_per_cell": 802,
  "lattice_angstrom": [[10.424, 0.000, 0.000], [0.000, 6.020, 0.000], [-3.437, 0.000, 12.776]],
  "species": ["Rb", "Rb", "Rb", "Nb", "Nb", "Nb", "Nb", "Nb", "Nb", "Nb", "Nb", "Nb", "Nb", "Nb", "Nb", "Nb", "Nb", "Nb", "Nb", "Nb", "Nb", "Nb", "Nb", "O", "O", "O", "O", "O", "O", "O", "O", "O", "O", "O", "O", "O", "O", "O", "O", "O", "O", "O", "O", "O", "O", "O", "O", "O", "O", "O", "O", "O", "O", "O", "O", "O", "O"],
  "fractional_positions": [[0.000, 0.000, 0.000], [0.227, 0.500, 0.140], [0.704, 0.000, 0.140], [0.042, 0.000, 0.665], [0.103, 0.000, 0.302], [0.118, 0.500, 0.847], [0.179, 0.500, 0.487], [0.306, 0.000, 0.910], [0.314, 0.272, 0.665], [0.314, 0.728, 0.665], [0.407, 0.272, 0.487], [0.407, 0.728, 0.487], [0.412, 0.000, 0.245], [0.542, 0.500, 0.665], [0.604, 0.500, 0.301], [0.615, 0.000, 0.848], [0.679, 0.000, 0.487], [0.800, 0.500, 0.909], [0.814, 0.228, 0.665], [0.814, 0.772, 0.665], [0.907, 0.228, 0.486], [0.907, 0.772, 0.486], [0.922, 0.500, 0.243], [0.007, 0.256, 0.764], [0.007, 0.744, 0.764], [0.110, 0.250, 0.575], [0.110, 0.750, 0.575], [0.214, 0.247, 0.386], [0.214, 0.753, 0.386], [0.226, 0.000, 0.194], [0.226, 0.253, 0.950], [0.226, 0.747, 0.950], [0.250, 0.500, 0.763], [0.255, 0.000, 0.761], [0.360, 0.000, 0.576], [0.466, 0.000, 0.394], [0.468, 0.500, 0.388], [0.487, 0.257, 0.206], [0.487, 0.743, 0.206], [0.492, 0.000, 0.950], [0.509, 0.243, 0.763], [0.509, 0.757, 0.763], [0.611, 0.250, 0.576], [0.611, 0.750, 0.576], [0.713, 0.254, 0.388], [0.713, 0.746, 0.388], [0.735, 0.236, 0.951], [0.735, 0.764, 0.951], [0.736, 0.500, 0.206], [0.753, 0.000, 0.764], [0.754, 0.500, 0.760], [0.860, 0.500, 0.576], [0.967, 0.000, 0.387], [0.968, 0.500, 0.393], [0.986, 0.500, 0.950], [0.990, 0.241, 0.197], [0.990, 0.759, 0.197]]
}

***

Entry 7:
{
  "formula": "Y2PbAu",
  "functional": "SCAN",
  "state": "single point on PBEsol structure",
  "delta_e_f_ev_per_atom": -0.9166,
  "total_energy_ev_per_cell": -204.29,
  "space_group": "No. 123",
  "vol_a3_per_cell": 98,
  "lattice_angstrom": [[3.604, 0.000, 0.000], [0.000, 3.604, 0.000], [0.000, 0.000, 7.581]],
  "species": ["Y", "Y", "Pb", "Au"],
  "fractional_positions": [[0.000, 0.000, 0.226], [0.000, 0.000, 0.774], [0.500, 0.500, 0.500], [0.500, 0.500, 0.000]]
}

***

Entry 8:
{
  "formula": "BeBO2",
  "functional": "SCAN",
  "state": "single point on PBEsol structure",
  "formation_energy_uncorrected_ev_per_atom": -1.650,
  "total_energy_ev_per_cell": -30.84,
  "space_group": "No. 166",
  "vol_a3_per_cell": 28,
  "lattice_angstrom": [[1.315, 0.759, 4.692], [-1.315, 0.759, 4.692], [0.000, -1.518, 4.692]],
  "species": ["Be", "B", "O", "O"],
  "fractional_positions": [[0.000, 0.000, 0.000], [0.500, 0.500, 0.500], [0.402, 0.402, 0.402], [0.598, 0.598, 0.598]]
}

***

Entry 9:
{
  "formula": "NdInNi",
  "functional": "SCAN",
  "state": "single point on PBEsol structure",
  "delta_e_f_ev_per_atom": -0.5204,
  "total_energy_ev_per_cell": -284.11,
  "space_group": "No. 189",
  "vol_a3_per_cell": 186,
  "lattice_angstrom": [[7.452, 0.000, 0.000], [-3.726, 6.454, 0.000], [0.000, 0.000, 3.862]],
  "species": ["Nd", "Nd", "Nd", "In", "In", "In", "Ni", "Ni", "Ni"],
  "fractional_positions": [[0.000, 0.414, 0.000], [0.414, 0.000, 0.000], [0.586, 0.586, 0.000], [0.000, 0.752, 0.500], [0.248, 0.248, 0.500], [0.752, 0.000, 0.500], [0.000, 0.000, 0.000], [0.333, 0.667, 0.500], [0.667, 0.333, 0.500]]
}

***

Entry 10:
{
  "formula": "Y2ScMn",
  "functional": "SCAN",
  "state": "single point on PBEsol structure",
  "delta_e_f_ev_per_atom": -0.0028,
  "total_energy_ev_per_cell": -88.19,
  "space_group": "No. 123",
  "vol_a3_per_cell": 96,
  "lattice_angstrom": [[3.439, 0.000, 0.000], [0.000, 3.439, 0.000], [0.000, 0.000, 8.109]],
  "species": ["Y", "Y", "Sc", "Mn"],
  "fractional_positions": [[0.000, 0.000, 0.212], [0.000, 0.000, 0.788], [0.500, 0.500, 0.500], [0.500, 0.500, 0.000]]
}

***

Entry 11:
{
  "formula": "SrTcP2",
  "functional": "SCAN",
  "state": "single point on PBEsol structure",
  "delta_e_f_ev_per_atom": 0.3779,
  "total_energy_ev_per_cell": -76.62,
  "space_group": "No. 119",
  "vol_a3_per_cell": 72,
  "lattice_angstrom": [[-1.959, 1.959, 4.716], [1.959, -1.959, 4.716], [1.959, 1.959, -4.716]],
  "species": ["Sr", "Tc", "P", "P"],
  "fractional_positions": [[0.000, 0.000, 0.000], [0.750, 0.250, 0.500], [0.250, 0.750, 0.500], [0.500, 0.500, 0.000]]
}

***

Entry 12:
{
  "formula": "KCaAg4",
  "functional": "SCAN",
  "state": "single point on PBEsol structure",
  "delta_e_f_ev_per_atom": -0.0820,
  "total_energy_ev_per_cell": -143.95,
  "space_group": "No. 216",
  "vol_a3_per_cell": 132,
  "lattice_angstrom": [[0.000, 4.036, 4.036], [4.036, 0.000, 4.036], [4.036, 4.036, 0.000]],
  "species": ["K", "Ca", "Ag", "Ag", "Ag", "Ag"],
  "fractional_positions": [[0.000, 0.000, 0.000], [0.250, 0.250, 0.250], [0.126, 0.625, 0.625], [0.625, 0.126, 0.625], [0.625, 0.625, 0.126], [0.625, 0.625, 0.625]]
}